A plane-wave DFT calculation with PBE-GGA was carried out for an optimized crystal structure of PmPr3Hg4.

Unit cell a=3.851 b=3.851 c=15.426 alpha=90.00 beta=90.00 gamma=90.00
Space group P4/mmm (No. 123)
Symmetry-distinct sites (fractional):
Pm: 0.000 0.000 0.000 (multiplicity 1)
Pr: 0.000 0.000 0.248 (multiplicity 2)
Pr: 0.000 0.000 0.500 (multiplicity 1)
Hg: 0.500 0.500 0.120 (multiplicity 2)
Hg: 0.500 0.500 0.374 (multiplicity 2)

Summary:
distance to the lowest polymorph of the same formula: 0.0 meV/atom
spin magnetization: 0.226 μB/atom
N(E_F): 1.105 states/eV per atom
crystal system: tetragonal



A plane-wave DFT calculation with PBE-GGA was carried out for an optimized crystal structure of PmPr4Hg2.

Unit cell a=6.325 b=8.744 c=9.587 alpha=64.97 beta=73.80 gamma=69.76
Space group P1 (No. 1)
Symmetry-distinct sites (fractional):
Pm: 0.000 0.000 0.000 (multiplicity 1)
Pm: 0.404 0.243 0.896 (multiplicity 1)
Pr: 0.083 0.213 0.298 (multiplicity 1)
Pr: 0.374 0.724 0.775 (multiplicity 1)
Pr: 0.536 0.791 0.136 (multiplicity 1)
Pr: 0.548 0.425 0.473 (multiplicity 1)
Pr: 0.572 0.373 0.117 (multiplicity 1)
Pr: 0.690 0.930 0.392 (multiplicity 1)
Pr: 0.786 0.964 0.716 (multiplicity 1)
Pr: 0.915 0.475 0.696 (multiplicity 1)
Hg: 0.067 0.598 0.294 (multiplicity 1)
Hg: 0.202 0.795 0.467 (multiplicity 1)
Hg: 0.248 0.137 0.624 (multiplicity 1)
Hg: 0.982 0.559 0.987 (multiplicity 1)

Summary:
spin magnetization: 0.000 μB/atom
DFT total energy: -3.692 eV per atom
N(E_F): 1.129 states/eV per atom
crystal system: triclinic



A plane-wave DFT calculation with PBE-GGA was carried out for an optimized crystal structure of Pm4Pr3Hg4.

Unit cell a=4.841 b=8.464 c=16.856 alpha=90.00 beta=90.00 gamma=90.00
Space group Immm (No. 71)
Symmetry-distinct sites (fractional):
Pm: 0.000 0.203 0.169 (multiplicity 8)
Pr: 0.000 0.000 0.389 (multiplicity 4)
Pr: 0.000 0.500 0.500 (multiplicity 2)
Hg: 0.000 0.316 0.000 (multiplicity 4)
Hg: 0.000 0.500 0.274 (multiplicity 4)

Summary:
spin magnetization: 0.000 μB/atom
DFT total energy: -3.397 eV per atom
N(E_F): 0.959 states/eV per atom
crystal system: orthorhombic



A plane-wave DFT calculation with PBE-GGA was carried out for an optimized crystal structure of Pm3PrHg6.

Unit cell a=9.474 b=5.257 c=11.401 alpha=90.00 beta=106.99 gamma=90.00
Space group P2_1/m (No. 11)
Symmetry-distinct sites (fractional):
Pm: 0.007 0.250 0.385 (multiplicity 2)
Pm: 0.146 0.750 0.201 (multiplicity 2)
Pm: 0.275 0.250 0.993 (multiplicity 2)
Pr: 0.435 0.250 0.614 (multiplicity 2)
Hg: 0.038 0.750 0.910 (multiplicity 2)
Hg: 0.152 0.250 0.707 (multiplicity 2)
Hg: 0.253 0.750 0.487 (multiplicity 2)
Hg: 0.333 0.250 0.310 (multiplicity 2)
Hg: 0.361 0.750 0.799 (multiplicity 2)
Hg: 0.437 0.750 0.098 (multiplicity 2)

Summary:
spin magnetization: 0.000 μB/atom
DFT total energy: -2.525 eV per atom
N(E_F): 0.798 states/eV per atom
crystal system: monoclinic